Here is a relaxed NaAlSn2 crystal from Alexandria via LeMat-Bulk. Energies are from PBE.

POSCAR file:
```
NaAlSn2
1.0
4.5007 0.0000 0.0000
-2.2504 3.8977 0.0000
0.0000 0.0000 19.6519
Na Al Sn
3 3 6
direct
0.0000 0.0000 0.0000 Na
0.3333 0.6667 0.6667 Na
0.6667 0.3333 0.3333 Na
0.0000 0.0000 0.5000 Al
0.3333 0.6667 0.1667 Al
0.6667 0.3333 0.8333 Al
0.0000 0.0000 0.2245 Sn
0.0000 0.0000 0.7755 Sn
0.3333 0.6667 0.4421 Sn
0.3333 0.6667 0.8912 Sn
0.6667 0.3333 0.1088 Sn
0.6667 0.3333 0.5579 Sn
```

**DOS at the Fermi energy**: 4.93 states/eV per cell
**SG**: R-3m
**ρ**: 4.15 g/cm3
**DFT total energy**: -12.84 eV per formula unit
**Spin magnetization**: 0.0 μB per cell

---

Here is a relaxed NaAlSn2 crystal from Alexandria via LeMat-Bulk. Energies are from PBE.

POSCAR file:
```
NaAlSn2
1.0
3.7375 0.0000 0.0000
0.0000 3.7375 0.0000
0.0000 0.0000 7.2343
Na Al Sn
1 1 2
direct
0.0000 0.0000 0.0000 Na
0.0000 0.0000 0.5000 Al
0.5000 0.5000 0.2923 Sn
0.5000 0.5000 0.7077 Sn
```

**DOS at the Fermi energy**: 1.33 states/eV per cell
**SG**: P4/mmm
**ρ**: 4.72 g/cm3
**DFT total energy**: -13.24 eV per formula unit
**Spin magnetization**: 0.0 μB per cell

---

Here is a relaxed Na2AlSn crystal from Alexandria via LeMat-Bulk. Energies are from PBE.

POSCAR file:
```
Na2AlSn
1.0
8.7455 0.0000 0.0000
0.0000 8.7455 0.0000
0.0000 0.0000 5.7964
Na Al Sn
8 4 4
direct
0.2419 0.2500 0.1250 Na
0.2500 0.7419 0.3750 Na
0.2500 0.7581 0.8750 Na
0.2581 0.2500 0.6250 Na
0.7419 0.7500 0.6250 Na
0.7500 0.2419 0.8750 Na
0.7500 0.2581 0.3750 Na
0.7581 0.7500 0.1250 Na
0.0000 0.0000 0.0000 Al
0.0000 0.5000 0.2500 Al
0.5000 0.0000 0.7500 Al
0.5000 0.5000 0.5000 Al
0.0000 0.0000 0.5000 Sn
0.0000 0.5000 0.7500 Sn
0.5000 0.0000 0.2500 Sn
0.5000 0.5000 0.0000 Sn
```

**DOS at the Fermi energy**: 8.98 states/eV per cell
**SG**: I-42d
**ρ**: 2.87 g/cm3
**DFT total energy**: -9.49 eV per formula unit
**Spin magnetization**: 0.0 μB per cell
**Offset from the most stable computed form**: 268.1 meV/atom

---

Here is a relaxed NaAlSn2 crystal from Alexandria via LeMat-Bulk. Energies are from PBE.

POSCAR file:
```
NaAlSn2
1.0
4.6676 0.0000 0.0000
-2.3338 4.0423 0.0000
0.0000 0.0000 17.3654
Na Al Sn
3 3 6
direct
0.0000 0.0000 0.0000 Na
0.3333 0.6667 0.6667 Na
0.6667 0.3333 0.3333 Na
0.0000 0.0000 0.8170 Al
0.3333 0.6667 0.4837 Al
0.6667 0.3333 0.1504 Al
0.0000 0.0000 0.2205 Sn
0.0000 0.0000 0.4278 Sn
0.3333 0.6667 0.0945 Sn
0.3333 0.6667 0.8871 Sn
0.6667 0.3333 0.5538 Sn
0.6667 0.3333 0.7612 Sn
```

**DOS at the Fermi energy**: 5.39 states/eV per cell
**SG**: R3m
**ρ**: 4.37 g/cm3
**DFT total energy**: -12.91 eV per formula unit
**Spin magnetization**: 0.0 μB per cell

---

Here is a relaxed NaAlSn2 crystal from Alexandria via LeMat-Bulk. Energies are from PBE.

POSCAR file:
```
NaAlSn2
1.0
4.9711 0.0000 0.0000
0.0000 4.9711 0.0000
0.0000 0.0000 18.6212
Na Al Sn
4 4 8
direct
0.0000 0.0000 0.0000 Na
0.0000 0.5000 0.2500 Na
0.5000 0.0000 0.7500 Na
0.5000 0.5000 0.5000 Na
0.0000 0.0000 0.5000 Al
0.0000 0.5000 0.7500 Al
0.5000 0.0000 0.2500 Al
0.5000 0.5000 0.0000 Al
0.1960 0.2500 0.6250 Sn
0.2500 0.6960 0.8750 Sn
0.2500 0.8040 0.3750 Sn
0.3040 0.2500 0.1250 Sn
0.6960 0.7500 0.1250 Sn
0.7500 0.1960 0.3750 Sn
0.7500 0.3040 0.8750 Sn
0.8040 0.7500 0.6250 Sn
```

**DOS at the Fermi energy**: 4.56 states/eV per cell
**SG**: I-42d
**ρ**: 4.15 g/cm3
**DFT total energy**: -12.53 eV per formula unit
**Spin magnetization**: 0.0 μB per cell

---

Here is a relaxed Na12AlSn7 crystal from Alexandria via LeMat-Bulk. Energies are from PBE.

POSCAR file:
```
Na12AlSn7
1.0
6.7019 3.8693 3.6401
-6.7019 3.8693 3.6401
0.0000 -7.7387 3.6401
Na Al Sn
12 1 7
direct
0.0248 0.7543 0.2616 Na
0.1475 0.1992 0.4136 Na
0.1992 0.4136 0.1475 Na
0.2457 0.7384 0.9752 Na
0.2616 0.0248 0.7543 Na
0.4136 0.1475 0.1992 Na
0.5864 0.8525 0.8008 Na
0.7384 0.9752 0.2457 Na
0.7543 0.2616 0.0248 Na
0.8008 0.5864 0.8525 Na
0.8525 0.8008 0.5864 Na
0.9752 0.2457 0.7384 Na
0.5000 0.5000 0.5000 Al
0.0000 0.0000 0.0000 Sn
0.1952 0.6061 0.5664 Sn
0.3939 0.4336 0.8048 Sn
0.4336 0.8048 0.3939 Sn
0.5664 0.1952 0.6061 Sn
0.6061 0.5664 0.1952 Sn
0.8048 0.3939 0.4336 Sn
```

**DOS at the Fermi energy**: 6.60 states/eV per cell
**SG**: R-3
**ρ**: 3.32 g/cm3
**DFT total energy**: -49.81 eV per formula unit
**Spin magnetization**: 0.0 μB per cell

---

Here is a relaxed Na2AlSn crystal from Alexandria via LeMat-Bulk. Energies are from PBE.

POSCAR file:
```
Na2AlSn
1.0
7.3370 0.0000 0.0000
0.0000 7.3370 0.0000
0.0000 0.0000 7.3370
Na Al Sn
8 4 4
direct
0.2500 0.2500 0.2500 Na
0.2500 0.2500 0.7500 Na
0.2500 0.7500 0.2500 Na
0.2500 0.7500 0.7500 Na
0.7500 0.2500 0.2500 Na
0.7500 0.2500 0.7500 Na
0.7500 0.7500 0.2500 Na
0.7500 0.7500 0.7500 Na
0.0000 0.0000 0.0000 Al
0.0000 0.5000 0.5000 Al
0.5000 0.0000 0.5000 Al
0.5000 0.5000 0.0000 Al
0.0000 0.0000 0.5000 Sn
0.0000 0.5000 0.0000 Sn
0.5000 0.0000 0.0000 Sn
0.5000 0.5000 0.5000 Sn
```

**DOS at the Fermi energy**: 9.27 states/eV per cell
**SG**: Fm-3m
**ρ**: 3.22 g/cm3
**DFT total energy**: -9.95 eV per formula unit
**Spin magnetization**: 0.0 μB per cell
**Offset from the most stable computed form**: 153.8 meV/atom

---

Here is a relaxed Na2AlSn crystal from Alexandria via LeMat-Bulk. Energies are from PBE.

POSCAR file:
```
Na2AlSn
1.0
4.3430 0.0000 0.0000
0.0000 4.3430 0.0000
0.0000 0.0000 5.0998
Na Al Sn
2 1 1
direct
0.0000 0.5000 0.0000 Na
0.5000 0.0000 0.0000 Na
0.0000 0.0000 0.5000 Al
0.5000 0.5000 0.5000 Sn
```

**DOS at the Fermi energy**: 1.95 states/eV per cell
**SG**: P4/mmm
**ρ**: 3.31 g/cm3
**DFT total energy**: -10.35 eV per formula unit
**Spin magnetization**: 0.0 μB per cell
**Offset from the most stable computed form**: 52.3 meV/atom

---

Repeat the eighth record exactly.
Here is a relaxed Na2AlSn crystal from Alexandria via LeMat-Bulk. Energies are from PBE.

POSCAR file:
```
Na2AlSn
1.0
4.3430 0.0000 0.0000
0.0000 4.3430 0.0000
0.0000 0.0000 5.0998
Na Al Sn
2 1 1
direct
0.0000 0.5000 0.0000 Na
0.5000 0.0000 0.0000 Na
0.0000 0.0000 0.5000 Al
0.5000 0.5000 0.5000 Sn
```

**DOS at the Fermi energy**: 1.95 states/eV per cell
**SG**: P4/mmm
**ρ**: 3.31 g/cm3
**DFT total energy**: -10.35 eV per formula unit
**Spin magnetization**: 0.0 μB per cell
**Offset from the most stable computed form**: 52.3 meV/atom

---

Among the records above, which one has the highest ρ?
number 2

---

The highest DOS at the Fermi energy belongs to which entry?
number 7